# LiTe2AuI | Alexandria | GGA-PBE | optimized geometry
# D(E_F) (states/eV per atom): 1.209
# Total magnetization (μB/atom): 0.000
# Polymorph energy (0 for the lowest one) (meV per atom): 0
data_LiTe2AuI
_cell_length_a 5.5020
_cell_length_b 5.5020
_cell_length_c 5.8180
_cell_angle_alpha 90.00
_cell_angle_beta 90.00
_cell_angle_gamma 90.00
_symmetry_space_group_name_H-M 'P 1'
_symmetry_Int_Tables_number 1
_symmetry_space_group_name_Hall 'P 1'
loop_
_atom_site_label
_atom_site_type_symbol
_atom_site_fract_x
_atom_site_fract_y
_atom_site_fract_z
Te1 Te 0.0000 0.5000 0.0000
I1 I 0.0000 0.0000 0.5000
Te2 Te 0.5000 0.0000 0.0000
Li1 Li 0.5000 0.5000 0.5000
Au1 Au 0.0000 0.0000 0.0000

***

# PmAl5Ag2 | Alexandria | GGA-PBE | optimized geometry
# D(E_F) (states/eV per atom): 0.419
# Total magnetization (μB/atom): 0.000
# ΔH_f (0 K) (eV per atom): -0.22
data_PmAl5Ag2
_cell_length_a 4.1152
_cell_length_b 6.6223
_cell_length_c 6.6223
_cell_angle_alpha 68.16
_cell_angle_beta 71.90
_cell_angle_gamma 71.90
_symmetry_space_group_name_H-M 'P 1'
_symmetry_Int_Tables_number 1
_symmetry_space_group_name_Hall 'P 1'
loop_
_atom_site_label
_atom_site_type_symbol
_atom_site_fract_x
_atom_site_fract_y
_atom_site_fract_z
Al1 Al 0.0000 0.5000 0.5000
Al2 Al 0.6386 0.1745 0.5482
Al3 Al 0.3614 0.8255 0.4518
Pm1 Pm 0.0000 0.0000 0.0000
Ag1 Ag 0.2541 0.2459 0.2459
Ag2 Ag 0.7459 0.7541 0.7541
Al4 Al 0.6386 0.5482 0.1745
Al5 Al 0.3614 0.4518 0.8255

***

# LaNd2Dy2Ho2 | Alexandria | GGA-PBE | optimized geometry
# D(E_F) (states/eV per atom): 1.860
# Total magnetization (μB/atom): 0.000
# ΔH_f (0 K) (eV per atom): 0.17
data_LaNd2Dy2Ho2
_cell_length_a 3.4966
_cell_length_b 12.2916
_cell_length_c 11.9321
_cell_angle_alpha 150.85
_cell_angle_beta 90.00
_cell_angle_gamma 98.18
_symmetry_space_group_name_H-M 'P 1'
_symmetry_Int_Tables_number 1
_symmetry_space_group_name_Hall 'P 1'
loop_
_atom_site_label
_atom_site_type_symbol
_atom_site_fract_x
_atom_site_fract_y
_atom_site_fract_z
Nd1 Nd 0.7042 0.4085 0.0431
Dy1 Dy 0.6580 0.3161 0.2435
Nd2 Nd 0.2958 0.5915 0.9569
La1 La 0.0000 0.0000 0.5000
Ho1 Ho 0.4089 0.8178 0.5982
Ho2 Ho 0.5911 0.1822 0.4018
Dy2 Dy 0.3420 0.6839 0.7565

***

# Nb2TcPd | Alexandria | GGA-PBE | optimized geometry
# D(E_F) (states/eV per atom): 1.475
# Total magnetization (μB/atom): 0.000
# ΔH_f (0 K) (eV per atom): 0.33
data_Nb2TcPd
_cell_length_a 7.1415
_cell_length_b 7.1415
_cell_length_c 5.7688
_cell_angle_alpha 51.76
_cell_angle_beta 51.76
_cell_angle_gamma 90.00
_symmetry_space_group_name_H-M 'P 1'
_symmetry_Int_Tables_number 1
_symmetry_space_group_name_Hall 'P 1'
loop_
_atom_site_label
_atom_site_type_symbol
_atom_site_fract_x
_atom_site_fract_y
_atom_site_fract_z
Nb1 Nb 0.3750 0.3880 0.7500
Tc1 Tc 0.2500 0.7500 0.5000
Pd1 Pd 0.7500 0.2500 0.5000
Nb2 Nb 0.1380 0.6250 0.2500
Pd2 Pd 0.0000 0.0000 0.0000
Nb3 Nb 0.8750 0.8620 0.7500
Tc2 Tc 0.5000 0.5000 0.0000
Nb4 Nb 0.6120 0.1250 0.2500

***

# Pu2HgF8 | Alexandria | GGA-PBE | optimized geometry
# D(E_F) (states/eV per atom): 1.338
# Total magnetization (μB/atom): 0.725
# Polymorph energy (0 for the lowest one) (meV per atom): 12
data_Pu2HgF8
_cell_length_a 5.4666
_cell_length_b 5.4666
_cell_length_c 7.3162
_cell_angle_alpha 90.00
_cell_angle_beta 90.00
_cell_angle_gamma 90.00
_symmetry_space_group_name_H-M 'P 1'
_symmetry_Int_Tables_number 1
_symmetry_space_group_name_Hall 'P 1'
loop_
_atom_site_label
_atom_site_type_symbol
_atom_site_fract_x
_atom_site_fract_y
_atom_site_fract_z
F1 F 0.7501 0.7501 0.1694
F2 F 0.7501 0.7501 0.8306
Pu1 Pu 0.5000 0.0000 0.0000
F3 F 0.2499 0.7501 0.1694
Pu2 Pu 0.0000 0.5000 0.0000
F4 F 0.7501 0.2499 0.1694
F5 F 0.2499 0.7501 0.8306
F6 F 0.2499 0.2499 0.1694
Hg1 Hg 0.5000 0.5000 0.5000
F7 F 0.2499 0.2499 0.8306
F8 F 0.7501 0.2499 0.8306

***

# La2MgMnN | Alexandria | GGA-PBE | optimized geometry
# D(E_F) (states/eV per atom): 0.474
# Total magnetization (μB/atom): 0.000
# E (eV per atom): -6.248
data_La2MgMnN
_cell_length_a 5.3527
_cell_length_b 5.3527
_cell_length_c 3.7053
_cell_angle_alpha 90.00
_cell_angle_beta 90.00
_cell_angle_gamma 90.00
_symmetry_space_group_name_H-M 'P 1'
_symmetry_Int_Tables_number 1
_symmetry_space_group_name_Hall 'P 1'
loop_
_atom_site_label
_atom_site_type_symbol
_atom_site_fract_x
_atom_site_fract_y
_atom_site_fract_z
La1 La 0.0000 0.5000 0.0000
N1 N 0.0000 0.0000 0.0000
La2 La 0.5000 0.0000 0.0000
Mn1 Mn 0.0000 0.0000 0.5000
Mg1 Mg 0.5000 0.5000 0.5000